A relaxed structure of Y2CdRe, computed with PBE.

abc: 11.789 3.533 5.020
angles: 90.00 115.12 90.00
Space group Cm (No. 8)
Inequivalent atoms, fractional coordinates:
Y  0.000  0.000  0.000 x2
Y  0.204  0.000  0.704 x2
Cd  0.425  0.000  0.425 x2
Re  0.219  0.500  0.219 x2

* calculated volume: 23.66 A^3/atom
* formation enthalpy at 0 K: 0.18 eV per atom



A relaxed structure of YCdRe2, computed with PBE.

abc: 2.928 4.978 5.318
angles: 90.00 95.27 90.00
Space group P2/m (No. 10)
Inequivalent atoms, fractional coordinates:
Y  0.000  0.000  0.000 x1
Cd  0.500  0.000  0.500 x1
Re  0.335  0.500  0.781 x2

* calculated volume: 19.29 A^3/atom
* formation enthalpy at 0 K: 0.53 eV per atom



A relaxed structure of YCdRe, computed with PBE.

abc: 3.2621 3.2621 7.1072
angles: 90.00 90.00 120.00
Space group P3m1 (No. 156)
Inequivalent atoms, fractional coordinates:
Y  0.0000  0.0000  0.0000 x1
Cd  0.3333  0.6667  0.3899 x1
Re  0.6667  0.3333  0.7014 x1

* energy above the lowest structure with this stoichiometry: 179.4 meV per atom
* calculated volume: 21.83 A^3/atom
* formation enthalpy at 0 K: 0.57 eV per atom



A relaxed structure of YCdRe2, computed with PBE.

abc: 3.575 3.575 6.265
angles: 90.00 90.00 90.00
Space group P4/mmm (No. 123)
Inequivalent atoms, fractional coordinates:
Y  0.000  0.000  0.000 x1
Cd  0.000  0.000  0.500 x1
Re  0.500  0.500  0.306 x2

* calculated volume: 20.02 A^3/atom
* formation enthalpy at 0 K: 0.66 eV per atom